This record from the Alexandria database describes a relaxed structure of SrLiI3. The functional is PBE.

Properties
uncorrected formation energy: -1.48 eV per atom

Unit cell a=8.299 b=10.267 c=10.267 alpha=85.36 beta=81.85 gamma=81.85
Element x y z (fractional)
I 0.867 0.026 0.209
I 0.108 0.287 0.437
I 0.116 0.622 0.123
I 0.616 0.123 0.622
I 0.133 0.974 0.791
I 0.392 0.563 0.713
I 0.608 0.437 0.287
I 0.884 0.378 0.877
I 0.633 0.791 0.974
I 0.367 0.209 0.026
I 0.384 0.877 0.378
I 0.892 0.713 0.563
Sr 0.250 0.906 0.094
Sr 0.750 0.094 0.906
Sr 0.750 0.716 0.284
Sr 0.250 0.284 0.716
Li 0.200 0.767 0.597
Li 0.700 0.597 0.767
Li 0.800 0.233 0.403
Li 0.300 0.403 0.233